# 1
Material: Nb5GaB2
Method: DFT, PBE-GGA
State: optimized geometry

Cell: 7.4100 7.4100 7.4100 Å, 129.58 129.58 74.08°
Atoms (fractional coordinates):
Nb: 0.0000 0.0000 0.0000
Nb: 0.0353 0.5353 0.8392
Nb: 0.1961 0.0353 0.5000
Nb: 0.3039 0.8039 0.8392
Nb: 0.4647 0.3039 0.5000
Nb: 0.5000 0.5000 0.0000
Nb: 0.5353 0.6961 0.5000
Nb: 0.6961 0.1961 0.1608
Nb: 0.8039 0.9647 0.5000
Nb: 0.9647 0.4647 0.1608
Ga: 0.2500 0.2500 0.0000
Ga: 0.7500 0.7500 0.0000
B: 0.1138 0.3862 0.5000
B: 0.3862 0.8862 0.2723
B: 0.6138 0.1138 0.7277
B: 0.8862 0.6138 0.5000

Computed properties:
Electronic total energy: -8.85 eV/atom
Magnetization: 0.00 μB/cell
Fermi-level density of states: 9.498 states/eV per cell


# 2
Material: Sc2NbBi2
Method: DFT, PBE-GGA
State: optimized geometry

Cell: 7.6538 7.6538 4.0515 Å, 90.00 90.00 90.00°
Atoms (fractional coordinates):
Sc: 0.1586 0.3414 0.0000
Sc: 0.3414 0.8414 0.0000
Sc: 0.6586 0.1586 0.0000
Sc: 0.8414 0.6586 0.0000
Nb: 0.0000 0.0000 0.5000
Nb: 0.5000 0.5000 0.5000
Bi: 0.1481 0.6481 0.5000
Bi: 0.3519 0.1481 0.5000
Bi: 0.6481 0.8519 0.5000
Bi: 0.8519 0.3519 0.5000

Computed properties:
Electronic total energy: -6.31 eV/atom
Magnetization: 0.00 μB/cell
Fermi-level density of states: 8.411 states/eV per cell


# 3
Material: La2InSi3Au4
Method: DFT, PBE-GGA
State: optimized geometry

Cell: 4.4017 4.4017 10.8836 Å, 90.00 90.00 90.00°
Atoms (fractional coordinates):
La: 0.0000 0.5000 0.2344
La: 0.5000 0.0000 0.7656
In: 0.0000 0.0000 0.5000
Si: 0.0000 0.5000 0.8737
Si: 0.5000 0.0000 0.1263
Si: 0.5000 0.5000 0.5000
Au: 0.0000 0.0000 0.0000
Au: 0.0000 0.5000 0.6491
Au: 0.5000 0.0000 0.3509
Au: 0.5000 0.5000 0.0000

Computed properties:
Energy relative to the elements, uncorrected: -0.612 eV/atom
Electronic total energy: -4.81 eV/atom
Magnetization: 0.00 μB/cell
Fermi-level density of states: 4.689 states/eV per cell


# 4
Material: PrNd2Mg
Method: DFT, PBE-GGA
State: optimized geometry

Cell: 11.8121 11.8121 11.8121 Å, 17.69 17.69 17.69°
Atoms (fractional coordinates):
Pr: 0.0000 0.0000 0.0000
Nd: 0.4206 0.4206 0.4206
Nd: 0.5807 0.5807 0.5807
Mg: 0.1673 0.1673 0.1673

Computed properties:
Electronic total energy: -3.94 eV/atom
Magnetization: 0.00 μB/cell
Fermi-level density of states: 5.203 states/eV per cell


# 5
Material: AcSbPtO6
Method: DFT, PBE-GGA
State: optimized geometry

Cell: 5.0787 5.0787 9.9856 Å, 90.00 90.00 90.00°
Atoms (fractional coordinates):
Ac: 0.0000 0.0000 0.0000
Ac: 0.5000 0.5000 0.5000
Sb: 0.0000 0.0000 0.3361
Sb: 0.5000 0.5000 0.8361
Pt: 0.0000 0.0000 0.6725
Pt: 0.5000 0.5000 0.1725
O: 0.1665 0.1665 0.5059
O: 0.2089 0.2089 0.1933
O: 0.2171 0.2171 0.8193
O: 0.2829 0.7171 0.3193
O: 0.2911 0.7089 0.6933
O: 0.3335 0.6665 0.0059
O: 0.6665 0.3335 0.0059
O: 0.7089 0.2911 0.6933
O: 0.7171 0.2829 0.3193
O: 0.7829 0.7829 0.8193
O: 0.7911 0.7911 0.1933
O: 0.8335 0.8335 0.5059

Computed properties:
Energy relative to the elements, uncorrected: -1.485 eV/atom
Electronic total energy: -6.38 eV/atom
Magnetization: 0.00 μB/cell


# 6
Material: Nd7Dy6Ho16
Method: DFT, PBE-GGA
State: optimized geometry

Cell: 11.2068 11.2068 11.2068 Å, 60.00 60.00 60.00°
Atoms (fractional coordinates):
Nd: 0.0000 0.0000 0.0000
Nd: 0.0000 0.0000 0.5000
Nd: 0.0000 0.5000 0.0000
Nd: 0.0000 0.5000 0.5000
Nd: 0.5000 0.0000 0.0000
Nd: 0.5000 0.0000 0.5000
Nd: 0.5000 0.5000 0.0000
Dy: 0.2544 0.2544 0.7456
Dy: 0.2544 0.7456 0.2544
Dy: 0.2544 0.7456 0.7456
Dy: 0.7456 0.2544 0.2544
Dy: 0.7456 0.2544 0.7456
Dy: 0.7456 0.7456 0.2544
Ho: 0.0555 0.6482 0.6482
Ho: 0.1303 0.1303 0.1303
Ho: 0.1303 0.1303 0.6092
Ho: 0.1303 0.6092 0.1303
Ho: 0.3518 0.3518 0.3518
Ho: 0.3518 0.3518 0.9445
Ho: 0.3518 0.9445 0.3518
Ho: 0.3908 0.8697 0.8697
Ho: 0.6092 0.1303 0.1303
Ho: 0.6482 0.0555 0.6482
Ho: 0.6482 0.6482 0.0555
Ho: 0.6482 0.6482 0.6482
Ho: 0.8697 0.3908 0.8697
Ho: 0.8697 0.8697 0.3908
Ho: 0.8697 0.8697 0.8697
Ho: 0.9445 0.3518 0.3518

Computed properties:
Electronic total energy: -4.37 eV/atom
Magnetization: 0.00 μB/cell
Fermi-level density of states: 51.722 states/eV per cell